# 1
This record from the Alexandria database describes a geometry-optimized Ac8Pr3Y3 structure. The functional is PBE-GGA.

```
14
Lattice="6.2891 -0.2681 0.8632 1.8823 9.3561 1.9150 0.3544 -2.0090 9.5176" Properties=species:S:1:pos:R:3 pbc="T T T"
Ac 7.1383 3.0395 9.2024
Ac 4.7665 5.5368 2.7293
Pr 4.6378 1.4917 3.1620
Ac 7.5340 5.9827 7.2335
Pr 3.8881 5.5873 9.1337
Ac 3.9681 -0.4021 6.7020
Ac 4.5577 7.4810 5.5938
Ac 1.3875 4.0395 3.0934
Y 3.1446 -0.1340 0.4316
Y 1.6788 7.8425 2.9275
Ac 0.9918 1.0963 5.0623
Ac 3.7593 1.5422 9.5665
Pr 4.2629 3.5395 6.1479
Y 0.5578 -0.4954 8.5051
```

volume: 582.7 Å³/f.u.
energy of formation from the pure elements: 0.207 eV/atom
Fermi-level density of states: 1.5784 states/eV per atom
E_tot: -4.550 eV/atom


# 2
This record from the Alexandria database describes a geometry-optimized AcPr6Y2 structure. The functional is PBE-GGA.

```
9
Lattice="3.7164 0.0000 0.0000 -1.8582 3.2185 0.0000 0.0000 0.0000 27.6885" Properties=species:S:1:pos:R:3 pbc="T T T"
Pr 0.0000 2.1457 15.6539
Y 1.8582 1.0728 18.4898
Pr 0.0000 2.1457 21.4517
Y 1.8582 1.0728 9.1987
Pr 0.0000 2.1457 12.0346
Pr 0.0000 2.1457 6.2369
Ac 0.0000 2.1457 0.0000
Pr 1.8582 1.0728 3.2115
Pr 1.8582 1.0728 24.4770
```

volume: 331.2 Å³/f.u.
energy of formation from the pure elements: 0.060 eV/atom
Fermi-level density of states: 1.6153 states/eV per atom
distance to the lowest polymorph of the same formula: 0.0 meV per atom
E_tot: -5.019 eV/atom


# 3
This record from the Alexandria database describes a geometry-optimized Ac3Pr2Y2 structure. The functional is PBE-GGA.

```
7
Lattice="-2.9761 -1.5609 -4.6077 2.9462 -1.9627 -1.2381 -5.7056 -11.0172 3.8881" Properties=species:S:1:pos:R:3 pbc="T T T"
Ac -4.4102 -7.8732 1.9864
Ac -4.2714 -4.7049 -2.7059
Ac 0.0000 0.0000 0.0000
Pr -5.1007 -11.2746 0.0552
Pr -0.6348 -3.2663 -2.0129
Y -1.8265 -6.1588 -0.2632
Y -3.9089 -8.3821 -1.6944
```

volume: 271.3 Å³/f.u.
energy of formation from the pure elements: 0.048 eV/atom
Fermi-level density of states: 1.6427 states/eV per atom
E_tot: -4.925 eV/atom


The lowest Fermi-level density of states belongs to which entry?
Ac8Pr3Y3


What is the formula in the third record?
Ac3Pr2Y2


Which value of E_tot does entry 3 give?
-4.925 eV/atom